Entry from OQMD via LeMat-Bulk: an optimized crystal structure of Zn2Re2O5 (PBE).

## Properties
The excess energy over the best structure of this formula in the dataset is 2.79 eV per formula unit. As for the space-group type: P4/mmm.

abc: 8.7603 3.4271 3.4271
angles: 90.00 90.00 90.00
Last column: magnetic moment on the atom in μB.
Positions (direct):
Zn1 0.2609 0.5000 0.5000  0.04
Zn2 0.7392 0.5000 0.5000  0.04
O1 0.8654 0.0000 0.5000  0.03
O2 0.1346 0.0000 0.5000  0.03
O3 0.8654 0.5000 0.0000  0.05
O4 0.5000 0.5000 0.5000  0.12
O5 0.1346 0.5000 0.0000  0.05
Re1 0.5000 0.0000 0.0000  2.95
Re2 0.0000 0.0000 0.0000  1.55